Below is YBi3Pt at its PBEsol-relaxed geometry, with properties calculated at the meta-GGA SCAN level.

abc: 5.361 5.361 5.361
angles: 90.00 90.00 90.00
Atoms (fractional coordinates):
Y 0.000 0.000 0.000
Bi 0.000 0.500 0.500
Bi 0.500 0.000 0.500
Bi 0.500 0.500 0.000
Pt 0.500 0.500 0.500

Calculated values
Its mass density is 9.819 g cm⁻³. For the total energy, the calculation gives -2.45066 hartree per atom. The calculation puts the formation energy from the elements at 69 meV/atom.

---

Below is Tl2CdSb at its PBEsol-relaxed geometry, with properties calculated at the meta-GGA SCAN level.

abc: 3.259 4.791 7.102
angles: 90.00 102.97 90.00
Atoms (fractional coordinates):
Tl 0.000 0.000 0.000
Tl 0.358 0.500 0.711
Cd 0.604 0.500 0.211
Sb 0.735 0.000 0.462

Calculated values
The value obtained for the energy above the most stable polymorph in this dataset is 0.00 kcal/mol of atoms. The calculation puts the uncorrected formation energy at 38 meV/atom. Its mass density is 9.879 g cm⁻³. For the total energy, the calculation gives -1.94990 hartree per atom.

---

Below is Mn2In2I at its PBEsol-relaxed geometry, with properties calculated at the meta-GGA SCAN level.

abc: 7.225 7.225 7.225
angles: 147.83 147.83 46.14
Atoms (fractional coordinates):
Mn 0.099 0.099 0.000
Mn 0.901 0.901 0.000
In 0.250 0.750 0.500
In 0.750 0.250 0.500
I 0.500 0.500 0.000

Calculated values
The calculation puts the uncorrected formation energy at 220 meV/atom. Its mass density is 7.269 g cm⁻³. For the total energy, the calculation gives -1.02107 hartree per atom.

---

Below is YCrCo2 at its PBEsol-relaxed geometry, with properties calculated at the meta-GGA SCAN level.

abc: 4.877 4.877 4.877
angles: 134.61 134.61 66.14
Atoms (fractional coordinates):
Y 0.000 0.000 0.000
Cr 0.250 0.750 0.500
Co 0.500 0.500 0.000
Co 0.750 0.250 0.500

Calculated values
The value obtained for the energy above the most stable polymorph in this dataset is 3.66 kcal/mol of atoms. Its mass density is 7.422 g cm⁻³. For the total energy, the calculation gives -0.73053 hartree per atom. The calculation puts the formation energy from the elements at 330 meV/atom.

---

Below is LiAlAg2 at its PBEsol-relaxed geometry, with properties calculated at the meta-GGA SCAN level.

abc: 4.449 4.449 4.449
angles: 60.00 60.00 60.00
Atoms (fractional coordinates):
Li 0.000 0.000 0.000
Al 0.750 0.750 0.750
Ag 0.250 0.250 0.250
Ag 0.500 0.500 0.500

Calculated values
Its mass density is 6.657 g cm⁻³. For the total energy, the calculation gives -0.67629 hartree per atom. The calculation puts the formation energy from the elements at -184 meV/atom.

---

Below is ZrTaAgBr2 at its PBEsol-relaxed geometry, with properties calculated at the meta-GGA SCAN level.

abc: 4.904 4.904 5.430
angles: 90.00 90.00 90.00
Atoms (fractional coordinates):
Zr 0.000 0.000 0.000
Ta 0.500 0.500 0.000
Ag 0.000 0.000 0.500
Br 0.000 0.500 0.500
Br 0.500 0.000 0.500

Calculated values
The calculation puts the uncorrected formation energy at 1448 meV/atom. Its mass density is 6.864 g cm⁻³. For the total energy, the calculation gives -1.17840 hartree per atom.

---

Below is La2ZnRh at its PBEsol-relaxed geometry, with properties calculated at the meta-GGA SCAN level.

abc: 4.395 5.798 5.798
angles: 41.14 90.00 90.00
Atoms (fractional coordinates):
La 0.000 0.000 0.000
La 0.500 0.278 0.278
Zn 0.500 0.572 0.572
Rh 0.000 0.713 0.713

Calculated values
Its mass density is 7.620 g cm⁻³. For the total energy, the calculation gives -1.24809 hartree per atom. The calculation puts the formation energy from the elements at -588 meV/atom.

---

Below is AsIrPd2Pt at its PBEsol-relaxed geometry, with properties calculated at the meta-GGA SCAN level.

abc: 4.473 4.473 4.499
angles: 90.00 90.00 90.00
Atoms (fractional coordinates):
As 0.000 0.000 0.000
Ir 0.000 0.000 0.500
Pd 0.000 0.500 0.000
Pd 0.500 0.000 0.000
Pt 0.500 0.500 0.500

Calculated values
Its mass density is 12.454 g cm⁻³. For the total energy, the calculation gives -1.64140 hartree per atom. The calculation puts the formation energy from the elements at 742 meV/atom.

---

Below is CaSi2Ni2 at its PBEsol-relaxed geometry, with properties calculated at the meta-GGA SCAN level.

abc: 5.545 5.545 5.545
angles: 138.39 138.39 60.31
Atoms (fractional coordinates):
Ca 0.000 0.000 0.000
Si 0.370 0.370 0.000
Si 0.630 0.630 0.000
Ni 0.250 0.750 0.500
Ni 0.750 0.250 0.500

Calculated values
The calculation puts the uncorrected formation energy at -643 meV/atom. Its mass density is 4.769 g cm⁻³. For the total energy, the calculation gives -0.47961 hartree per atom.

---

Below is Ca2YPb at its PBEsol-relaxed geometry, with properties calculated at the meta-GGA SCAN level.

abc: 3.774 4.544 7.254
angles: 90.00 90.00 90.00
Atoms (fractional coordinates):
Ca 0.000 0.000 0.000
Ca 0.500 0.500 0.284
Y 0.500 0.500 0.737
Pb 0.000 0.000 0.526

Calculated values
Its mass density is 5.023 g cm⁻³. For the total energy, the calculation gives -1.14207 hartree per atom. The calculation puts the formation energy from the elements at -340 meV/atom.

---

Below is AgPtW2 at its PBEsol-relaxed geometry, with properties calculated at the meta-GGA SCAN level.

abc: 9.561 9.561 9.561
angles: 16.68 16.68 16.68
Atoms (fractional coordinates):
Ag 0.000 0.000 0.000
Pt 0.752 0.752 0.752
W 0.248 0.248 0.248
W 0.496 0.496 0.496

Calculated values
The value obtained for the energy above the most stable polymorph in this dataset is 0.58 kcal/mol of atoms. Its mass density is 17.733 g cm⁻³. For the total energy, the calculation gives -2.20405 hartree per atom. The calculation puts the formation energy from the elements at 259 meV/atom.

---

Below is Ir3SeN at its PBEsol-relaxed geometry, with properties calculated at the meta-GGA SCAN level.

abc: 4.529 4.529 4.529
angles: 90.00 90.00 90.00
Atoms (fractional coordinates):
Ir 0.000 0.000 0.500
Ir 0.000 0.500 0.000
Ir 0.500 0.000 0.000
Se 0.000 0.000 0.000
N 0.500 0.500 0.500

Calculated values
The calculation puts the uncorrected formation energy at 2579 meV/atom. Its mass density is 11.968 g cm⁻³. For the total energy, the calculation gives -1.68879 hartree per atom.